Entry 1:
# NaLiTlCd2, relaxed, DFT GGA-PBE
data_NaLiTlCd2
_chemical_formula_sum 'Na1 Li1 Tl1 Cd2'
_cell_length_a 5.0879
_cell_length_b 5.0879
_cell_length_c 5.1398
_cell_angle_alpha 90.00
_cell_angle_beta 90.00
_cell_angle_gamma 90.00
_symmetry_space_group_name_H-M 'P 4/m m m'
_symmetry_Int_Tables_number 123
_symmetry_space_group_name_Hall '-P 4 2'
loop_
_atom_site_label
_atom_site_type_symbol
_atom_site_fract_x
_atom_site_fract_y
_atom_site_fract_z
_atom_site_occupancy
Na1 Na 0.0000 0.0000 0.0000 1
Li1 Li 0.5000 0.5000 0.5000 1
Tl1 Tl 0.5000 0.5000 0.0000 1
Cd1 Cd 0.0000 0.5000 0.5000 1
# DFT formation energy   0.048 eV per atom
# Total moment   0.000 μB per formula unit

Entry 2:
# Ho2NbCo2, relaxed, DFT GGA-PBE
data_Ho2NbCo2
_chemical_formula_sum 'Ho4 Nb2 Co4'
_cell_length_a 3.8917
_cell_length_b 5.4674
_cell_length_c 9.0068
_cell_angle_alpha 90.00
_cell_angle_beta 90.00
_cell_angle_gamma 90.00
_symmetry_space_group_name_H-M 'I m m m'
_symmetry_Int_Tables_number 71
_symmetry_space_group_name_Hall '-I 2 2'
loop_
_atom_site_label
_atom_site_type_symbol
_atom_site_fract_x
_atom_site_fract_y
_atom_site_fract_z
_atom_site_occupancy
Ho1 Ho 0.0000 0.0000 0.2037 1
Nb1 Nb 0.0000 0.5000 0.0000 1
Co1 Co 0.0000 0.2807 0.5000 1
# DFT formation energy   -0.202 eV per atom
# Total moment   0.000 μB per formula unit

Entry 3:
# VCrSiAu, relaxed, DFT GGA-PBE
data_VCrSiAu
_chemical_formula_sum 'V2 Cr2 Si2 Au2'
_cell_length_a 8.7731
_cell_length_b 3.2102
_cell_length_c 4.3340
_cell_angle_alpha 90.00
_cell_angle_beta 110.78
_cell_angle_gamma 90.00
_symmetry_space_group_name_H-M 'C 1 m 1'
_symmetry_Int_Tables_number 8
_symmetry_space_group_name_Hall 'C -2y'
loop_
_atom_site_label
_atom_site_type_symbol
_atom_site_fract_x
_atom_site_fract_y
_atom_site_fract_z
_atom_site_occupancy
V1 V 0.0000 0.0000 0.0000 1
Cr1 Cr 0.2341 0.5000 0.1727 1
Si1 Si 0.2480 0.0000 0.7044 1
Au1 Au 0.0043 0.5000 0.5042 1
# DFT total energy   -6.83 eV/atom
# Total moment   0.206 μB per formula unit

Entry 4:
# Cu3TcAs, relaxed, DFT GGA-PBE
data_Cu3TcAs
_chemical_formula_sum 'Cu3 Tc1 As1'
_cell_length_a 4.4308
_cell_length_b 4.4308
_cell_length_c 4.4308
_cell_angle_alpha 90.00
_cell_angle_beta 90.00
_cell_angle_gamma 90.00
_symmetry_space_group_name_H-M 'P m -3 m'
_symmetry_Int_Tables_number 221
_symmetry_space_group_name_Hall '-P 4 2 3'
loop_
_atom_site_label
_atom_site_type_symbol
_atom_site_fract_x
_atom_site_fract_y
_atom_site_fract_z
_atom_site_occupancy
Cu1 Cu 0.0000 0.0000 0.5000 1
Tc1 Tc 0.5000 0.5000 0.5000 1
As1 As 0.0000 0.0000 0.0000 1
# DFT formation energy   0.960 eV per atom
# Total moment   3.216 μB per formula unit

Entry 5:
# Tl2SiMo, relaxed, DFT GGA-PBE
data_Tl2SiMo
_chemical_formula_sum 'Tl8 Si4 Mo4'
_cell_length_a 7.1077
_cell_length_b 7.1077
_cell_length_c 7.1077
_cell_angle_alpha 90.00
_cell_angle_beta 90.00
_cell_angle_gamma 90.00
_symmetry_space_group_name_H-M 'F m -3 m'
_symmetry_Int_Tables_number 225
_symmetry_space_group_name_Hall '-F 4 2 3'
loop_
_atom_site_label
_atom_site_type_symbol
_atom_site_fract_x
_atom_site_fract_y
_atom_site_fract_z
_atom_site_occupancy
Tl1 Tl 0.2500 0.2500 0.2500 1
Si1 Si 0.0000 0.0000 0.0000 1
Mo1 Mo 0.0000 0.0000 0.5000 1
# DFT total energy   -4.18 eV/atom
# Total moment   3.419 μB per formula unit

Entry 6:
# ScCd2BiO, relaxed, DFT GGA-PBE
data_ScCd2BiO
_chemical_formula_sum 'Sc1 Cd2 Bi1 O1'
_cell_length_a 5.6340
_cell_length_b 5.6340
_cell_length_c 5.6086
_cell_angle_alpha 90.00
_cell_angle_beta 90.00
_cell_angle_gamma 90.00
_symmetry_space_group_name_H-M 'P 4/m m m'
_symmetry_Int_Tables_number 123
_symmetry_space_group_name_Hall '-P 4 2'
loop_
_atom_site_label
_atom_site_type_symbol
_atom_site_fract_x
_atom_site_fract_y
_atom_site_fract_z
_atom_site_occupancy
Sc1 Sc 0.0000 0.0000 0.0000 1
Cd1 Cd 0.0000 0.5000 0.5000 1
Bi1 Bi 0.0000 0.0000 0.5000 1
O1 O 0.5000 0.5000 0.0000 1
# DFT total energy   -2.63 eV/atom
# Total moment   0.005 μB per formula unit

Entry 7:
# Mg9CdGa2, relaxed, DFT GGA-PBE
data_Mg9CdGa2
_chemical_formula_sum 'Mg9 Cd1 Ga2'
_cell_length_a 4.3816
_cell_length_b 4.3816
_cell_length_c 13.1460
_cell_angle_alpha 90.00
_cell_angle_beta 90.00
_cell_angle_gamma 90.00
_symmetry_space_group_name_H-M 'P 4/m m m'
_symmetry_Int_Tables_number 123
_symmetry_space_group_name_Hall '-P 4 2'
loop_
_atom_site_label
_atom_site_type_symbol
_atom_site_fract_x
_atom_site_fract_y
_atom_site_fract_z
_atom_site_occupancy
Mg1 Mg 0.0000 0.0000 0.0000 1
Mg2 Mg 0.0000 0.0000 0.3359 1
Mg3 Mg 0.0000 0.5000 0.1724 1
Mg4 Mg 0.0000 0.5000 0.5000 1
Cd1 Cd 0.5000 0.5000 0.0000 1
Ga1 Ga 0.5000 0.5000 0.3366 1
# DFT formation energy   -0.082 eV per atom
# Total moment   0.000 μB per formula unit

Entry 8:
# MoIrRu2, relaxed, DFT GGA-PBE
data_MoIrRu2
_chemical_formula_sum 'Mo1 Ir1 Ru2'
_cell_length_a 3.2900
_cell_length_b 3.2900
_cell_length_c 5.5294
_cell_angle_alpha 90.00
_cell_angle_beta 90.00
_cell_angle_gamma 90.00
_symmetry_space_group_name_H-M 'P 4 m m'
_symmetry_Int_Tables_number 99
_symmetry_space_group_name_Hall 'P 4 -2'
loop_
_atom_site_label
_atom_site_type_symbol
_atom_site_fract_x
_atom_site_fract_y
_atom_site_fract_z
_atom_site_occupancy
Mo1 Mo 0.0000 0.0000 0.0000 1
Ir1 Ir 0.5000 0.5000 0.7477 1
Ru1 Ru 0.0000 0.0000 0.4842 1
Ru2 Ru 0.5000 0.5000 0.2633 1
# DFT formation energy   0.270 eV per atom
# Total moment   0.973 μB per formula unit